No. 1
Computed, not measured: a relaxed structure of AlNiIr at the GGA-PBE level of DFT.

Summary:
The density is 9.590 g/cm3. The calculation puts the formation energy at -0.103 eV per atom.

Unit cell a=5.7738 b=5.7738 c=5.7738 alpha=90.00 beta=90.00 gamma=90.00
Last column: nearest neighbours and their distance in Å.
Element x y z (fractional)
Al: 0.0000 0.0000 0.0000  4 Ir 2.50
Al: 0.0000 0.5000 0.5000  4 Ir 2.50
Al: 0.5000 0.0000 0.5000  4 Ir 2.50
Al: 0.5000 0.5000 0.0000  4 Ir 2.50
Ni: 0.0000 0.0000 0.5000  4 Ir 2.50
Ni: 0.0000 0.5000 0.0000  4 Ir 2.50
Ni: 0.5000 0.0000 0.0000  4 Ir 2.50
Ni: 0.5000 0.5000 0.5000  4 Ir 2.50
Ir: 0.2500 0.2500 0.2500  4 Ni 2.50, 4 Al 2.50
Ir: 0.2500 0.7500 0.7500  4 Ni 2.50, 4 Al 2.50
Ir: 0.7500 0.2500 0.7500  4 Ni 2.50, 4 Al 2.50
Ir: 0.7500 0.7500 0.2500  4 Ni 2.50, 4 Al 2.50



No. 2
Computed, not measured: a relaxed structure of Al6NiIr5 at the GGA-PBE level of DFT.

Summary:
The density is 12.073 g/cm3. The calculation puts the formation energy at -0.887 eV per atom.

Unit cell a=4.2709 b=5.9316 c=6.7549 alpha=90.00 beta=108.24 gamma=90.00
Last column: nearest neighbours and their distance in Å.
Element x y z (fractional)
Al: 0.0000 0.2416 0.0000  6 Ir 2.57-2.63, 2 Ni 2.57, 1 Al 2.87
Al: 0.0000 0.7584 0.0000  6 Ir 2.57-2.63, 2 Ni 2.57, 1 Al 2.87
Al: 0.3357 0.2459 0.6719  1 Ni 2.56, 7 Ir 2.58-2.64
Al: 0.3357 0.7541 0.6719  1 Ni 2.56, 7 Ir 2.58-2.64
Al: 0.6643 0.2459 0.3281  1 Ni 2.56, 7 Ir 2.58-2.64
Al: 0.6643 0.7541 0.3281  1 Ni 2.56, 7 Ir 2.58-2.64
Ni: 0.5000 0.0000 0.0000  8 Al 2.56-2.57
Ir: 0.1666 0.0000 0.3320  8 Al 2.57-2.62
Ir: 0.1669 0.5000 0.3335  8 Al 2.61-2.64
Ir: 0.5000 0.5000 0.0000  8 Al 2.59-2.63
Ir: 0.8334 0.0000 0.6680  8 Al 2.57-2.62
Ir: 0.8331 0.5000 0.6665  8 Al 2.61-2.64



No. 3
Computed, not measured: a relaxed structure of Al4NiIr at the GGA-PBE level of DFT.

Summary:
The density is 6.956 g/cm3. The calculation puts the formation energy at 0.002 eV per atom.

Unit cell a=4.9480 b=4.9480 c=4.9480 alpha=60.00 beta=60.00 gamma=60.00
Last column: nearest neighbours and their distance in Å.
Element x y z (fractional)
Al: 0.1247 0.1247 0.1247  6 Al 2.47-2.48
Al: 0.1247 0.1247 0.6258  6 Al 2.47-2.48
Al: 0.1247 0.6258 0.1247  6 Al 2.47-2.48
Al: 0.6258 0.1247 0.1247  6 Al 2.47-2.48
Ni: 0.5000 0.5000 0.5000  12 Al 2.90, 4 Ir 3.03
Ir: 0.7500 0.7500 0.7500  12 Al 2.90, 4 Ni 3.03



No. 4
Computed, not measured: a relaxed structure of AlNiIr at the GGA-PBE level of DFT.

Summary:
The density is 9.466 g/cm3. The calculation puts the formation energy at -0.177 eV per atom.

Unit cell a=4.1602 b=2.7609 c=4.2445 alpha=90.00 beta=90.45 gamma=90.00
Last column: nearest neighbours and their distance in Å.
Element x y z (fractional)
Al: 0.0000 0.0000 0.0000  4 Ir 2.50, 2 Al 2.76
Ni: 0.5000 0.0000 0.5000  4 Ir 2.53, 2 Ni 2.76
Ir: 0.5000 0.5000 0.0000  4 Al 2.50, 4 Ni 2.53, 2 Ir 2.76